Density functional theory data (PBE-GGA) for TiPHS2 after structural relaxation.

Values from the calculation:
**Crystal system**: tetragonal
**Energy**: -4.6213 eV per atom
**Energy above the lowest structure with this stoichiometry**: 0.178 eV per atom

```
data_TiPHS2
_chemical_formula_sum 'Ti1 P1 H1 S2'
_cell_length_a 4.6613
_cell_length_b 4.6613
_cell_length_c 4.8260
_cell_angle_alpha 90.00
_cell_angle_beta 90.00
_cell_angle_gamma 90.00
_symmetry_space_group_name_H-M 'P 4/m m m'
_symmetry_Int_Tables_number 123
_symmetry_space_group_name_Hall '-P 4 2'
loop_
_atom_site_label
_atom_site_type_symbol
_atom_site_fract_x
_atom_site_fract_y
_atom_site_fract_z
Ti1 Ti 0.0000 0.0000 0.0000
P1 P 0.0000 0.0000 0.5000
H1 H 0.5000 0.5000 0.5000
S1 S 0.0000 0.5000 0.0000
```

---

Density functional theory data (PBE-GGA) for CaZr2Au2 after structural relaxation.

Values from the calculation:
**Calculated formation energy**: 0.34 eV/atom
**Crystal system**: tetragonal
**Energy**: -4.7898 eV per atom
**Energy above the lowest structure with this stoichiometry**: 0.706 eV per atom

```
data_CaZr2Au2
_chemical_formula_sum 'Ca1 Zr2 Au2'
_cell_length_a 5.3432
_cell_length_b 5.3432
_cell_length_c 4.9757
_cell_angle_alpha 90.00
_cell_angle_beta 90.00
_cell_angle_gamma 90.00
_symmetry_space_group_name_H-M 'P 4/m m m'
_symmetry_Int_Tables_number 123
_symmetry_space_group_name_Hall '-P 4 2'
loop_
_atom_site_label
_atom_site_type_symbol
_atom_site_fract_x
_atom_site_fract_y
_atom_site_fract_z
Ca1 Ca 0.0000 0.0000 0.0000
Zr1 Zr 0.5000 0.5000 0.0000
Zr2 Zr 0.5000 0.5000 0.5000
Au1 Au 0.0000 0.5000 0.5000
```

---

Density functional theory data (PBE-GGA) for MgSiSb2 after structural relaxation.

Values from the calculation:
**Crystal system**: tetragonal
**Energy**: -3.5884 eV per atom

```
data_MgSiSb2
_chemical_formula_sum 'Mg2 Si2 Sb4'
_cell_length_a 4.7597
_cell_length_b 4.7597
_cell_length_c 8.1730
_cell_angle_alpha 90.00
_cell_angle_beta 90.00
_cell_angle_gamma 90.00
_symmetry_space_group_name_H-M 'I 4/m m m'
_symmetry_Int_Tables_number 139
_symmetry_space_group_name_Hall '-I 4 2'
loop_
_atom_site_label
_atom_site_type_symbol
_atom_site_fract_x
_atom_site_fract_y
_atom_site_fract_z
Mg1 Mg 0.0000 0.0000 0.0000
Si1 Si 0.0000 0.0000 0.5000
Sb1 Sb 0.0000 0.5000 0.2500
```

---

- Among the records above, which one has the lowest energy?
  CaZr2Au2